The following is a DFT calculation (PBE) of a relaxed structure of Co6NiIr2.

Properties
Energy, eV/atom: -7.0051
ΔH_f (0 K), eV/atom: 0.344
Distance to the lowest polymorph of the same formula, eV per formula unit: 0.69

a = 6.7633 Å, b = 6.7633 Å, c = 6.7633 Å
α = 144.83°, β = 139.10°, γ = 55.02°
Last column: nearest neighbours and their distance in Å.
Sites, in units of the cell vectors:
Co 0.0418 0.7998 0.2420  5 Co 2.29-2.44, 1 Ir 2.56
Co 0.2541 0.0000 0.2541  4 Co 2.32-2.40, 2 Ni 2.37
Co 0.4422 0.2002 0.2420  5 Co 2.29-2.44, 1 Ir 2.56
Co 0.5578 0.7998 0.7580  5 Co 2.29-2.44, 1 Ir 2.56
Co 0.7459 0.0000 0.7459  4 Co 2.32-2.40, 2 Ni 2.37
Co 0.9582 0.2002 0.7580  5 Co 2.29-2.44, 1 Ir 2.56
Ni 0.0000 0.5000 0.5000  4 Co 2.37
Ir 0.3913 0.3913 0.0000  10 Co 2.56-2.69, 1 Ir 2.61, 2 Ni 2.70
Ir 0.6087 0.6087 0.0000  10 Co 2.56-2.69, 1 Ir 2.61, 2 Ni 2.70


The following is a DFT calculation (PBE) of a relaxed structure of SrZnRu2.

Properties
Energy, eV/atom: -4.7387
ΔH_f (0 K), eV/atom: 0.638

a = 3.1128 Å, b = 4.7210 Å, c = 4.9147 Å
α = 90.00°, β = 90.00°, γ = 90.00°
Last column: nearest neighbours and their distance in Å.
Sites, in units of the cell vectors:
Sr 0.0000 0.0000 0.0000  4 Ru 2.83, 4 Zn 2.91, 2 Sr 3.11
Zn 0.5000 0.0000 0.5000  4 Ru 2.83, 4 Sr 2.91, 2 Zn 3.11
Ru 0.0000 0.5000 0.5000  4 Zn 2.83, 6 Ru 2.91-3.11
Ru 0.5000 0.5000 0.0000  4 Sr 2.83, 6 Ru 2.91-3.11


The following is a DFT calculation (PBE) of a relaxed structure of Hg2Pb6Au.

Properties
Energy, eV/atom: -2.9184
ΔH_f (0 K), eV/atom: -0.015

a = 8.2367 Å, b = 8.2367 Å, c = 4.4333 Å
α = 90.00°, β = 90.00°, γ = 120.00°
Last column: nearest neighbours and their distance in Å.
Sites, in units of the cell vectors:
Hg 0.3333 0.6667 0.0000  9 Pb 3.14-3.37
Hg 0.6667 0.3333 0.0000  9 Pb 3.14-3.37
Pb 0.0000 0.2505 0.0000  2 Au 3.03, 2 Hg 3.14
Pb 0.0000 0.6082 0.5000  1 Au 3.23, 4 Hg 3.37, 4 Pb 3.60
Pb 0.2505 0.0000 0.0000  2 Au 3.03, 2 Hg 3.14
Pb 0.3918 0.3918 0.5000  1 Au 3.23, 4 Hg 3.37, 4 Pb 3.60
Pb 0.6082 0.0000 0.5000  1 Au 3.23, 4 Hg 3.37, 4 Pb 3.60
Pb 0.7495 0.7495 0.0000  2 Au 3.03, 2 Hg 3.14
Au 0.0000 0.0000 0.5000  9 Pb 3.03-3.23


The following is a DFT calculation (PBE) of a relaxed structure of K4LiC2O6.

Properties
Energy, eV/atom: -5.7708

a = 5.5376 Å, b = 5.5376 Å, c = 11.7067 Å
α = 90.00°, β = 90.00°, γ = 120.00°
Last column: nearest neighbours and their distance in Å.
Sites, in units of the cell vectors:
K 0.0000 0.0000 0.0000  6 O 2.78
K 0.3333 0.6667 0.3372  3 O 2.69
K 0.3333 0.6667 0.6628  3 O 2.69
K 0.6667 0.3333 0.5000  6 O 2.78
Li 0.3333 0.6667 0.0000  3 O 1.89
C 0.0000 0.0000 0.5000  3 O 1.30
C 0.6667 0.3333 0.0000  3 O 1.30
O 0.1360 0.2720 0.5000  1 C 1.30
O 0.1360 0.8640 0.5000  1 C 1.30
O 0.5307 0.0615 0.0000  1 C 1.30
O 0.5307 0.4693 0.0000  1 C 1.30
O 0.7280 0.8640 0.5000  1 C 1.30
O 0.9385 0.4693 0.0000  1 C 1.30


The following is a DFT calculation (PBE) of a relaxed structure of SiTcAg3.

Properties
Energy, eV/atom: -3.8270
Distance to the lowest polymorph of the same formula, eV per formula unit: 0.00

a = 4.7027 Å, b = 4.7027 Å, c = 4.7027 Å
α = 90.00°, β = 90.00°, γ = 90.00°
Last column: nearest neighbours and their distance in Å.
Sites, in units of the cell vectors:
Si 0.0000 0.0000 0.0000  6 Ag 2.35
Tc 0.5000 0.5000 0.5000  12 Ag 3.33
Ag 0.0000 0.0000 0.5000  2 Si 2.35
Ag 0.0000 0.5000 0.0000  2 Si 2.35
Ag 0.5000 0.0000 0.0000  2 Si 2.35


The following is a DFT calculation (PBE) of a relaxed structure of HfZr2Zn2.

Properties
Energy, eV/atom: -6.0646
ΔH_f (0 K), eV/atom: -0.145
Distance to the lowest polymorph of the same formula, eV per formula unit: 0.00

a = 7.6543 Å, b = 7.6543 Å, c = 3.3663 Å
α = 90.00°, β = 90.00°, γ = 90.00°
Last column: nearest neighbours and their distance in Å.
Sites, in units of the cell vectors:
Hf 0.0000 0.0000 0.0000  4 Zn 3.04, 8 Zr 3.28, 2 Hf 3.37
Hf 0.5000 0.5000 0.0000  4 Zn 3.04, 8 Zr 3.28, 2 Hf 3.37
Zr 0.1768 0.3232 0.5000  6 Zn 2.76-2.87
Zr 0.3232 0.8232 0.5000  6 Zn 2.76-2.87
Zr 0.6768 0.1768 0.5000  6 Zn 2.76-2.87
Zr 0.8232 0.6768 0.5000  6 Zn 2.76-2.87
Zn 0.1212 0.6212 0.0000  1 Zn 2.62, 6 Zr 2.76-2.87
Zn 0.3788 0.1212 0.0000  1 Zn 2.62, 6 Zr 2.76-2.87
Zn 0.6212 0.8788 0.0000  1 Zn 2.62, 6 Zr 2.76-2.87
Zn 0.8788 0.3788 0.0000  1 Zn 2.62, 6 Zr 2.76-2.87